# InHgAs2 PBE relaxed
data_InHgAs2
_cell_length_a 3.6133
_cell_length_b 2.9495
_cell_length_c 9.3562
_cell_angle_alpha 93.28
_cell_angle_beta 90.00
_cell_angle_gamma 90.00
_space_group_name_H-M_alt 'P 1'
_space_group_IT_number 1
loop_
_space_group_symop_operation_xyz
'x,y,z'
loop_
_atom_site_label
_atom_site_fract_x
_atom_site_fract_y
_atom_site_fract_z
Hg1 0.0000 0.3587 0.4866
As1 0.0000 0.3459 0.0301
As2 0.5000 0.4010 0.2185
In1 0.5000 0.3944 0.7648
# - Total moment: 0.000 μB/atom
# - Offset from the most stable computed form: 53 meV/atom
# - Formation energy: 0.08 eV per atom
# - Symmetry: Pm, No. 6



# In2HgAs PBE relaxed
data_In2HgAs
_cell_length_a 4.1740
_cell_length_b 4.1740
_cell_length_c 7.6655
_cell_angle_alpha 74.20
_cell_angle_beta 74.20
_cell_angle_gamma 60.00
_space_group_name_H-M_alt 'P 1'
_space_group_IT_number 1
loop_
_space_group_symop_operation_xyz
'x,y,z'
loop_
_atom_site_label
_atom_site_fract_x
_atom_site_fract_y
_atom_site_fract_z
In1 0.0713 0.0713 0.7861
In2 0.2623 0.2623 0.2132
Hg1 0.4989 0.4989 0.5032
As1 0.6675 0.6675 0.9975
# - Total moment: 0.000 μB/atom
# - Offset from the most stable computed form: 14 meV/atom
# - Formation energy: -0.04 eV per atom
# - Symmetry: R3m, No. 160



# InHg2As PBE relaxed
data_InHg2As
_cell_length_a 6.2617
_cell_length_b 6.2617
_cell_length_c 6.2617
_cell_angle_alpha 149.89
_cell_angle_beta 126.88
_cell_angle_gamma 62.28
_space_group_name_H-M_alt 'P 1'
_space_group_IT_number 1
loop_
_space_group_symop_operation_xyz
'x,y,z'
loop_
_atom_site_label
_atom_site_fract_x
_atom_site_fract_y
_atom_site_fract_z
Hg1 0.0126 0.0126 0.0000
Hg2 0.4874 0.4874 0.0000
As1 0.2500 0.7500 0.5000
In1 0.7500 0.2500 0.5000
# - Total moment: 0.000 μB/atom
# - Formation energy: 0.17 eV per atom
# - Symmetry: Immm, No. 71



# InHgAs PBE relaxed
data_InHgAs
_cell_length_a 4.8834
_cell_length_b 4.8834
_cell_length_c 4.8834
_cell_angle_alpha 60.00
_cell_angle_beta 60.00
_cell_angle_gamma 60.00
_space_group_name_H-M_alt 'P 1'
_space_group_IT_number 1
loop_
_space_group_symop_operation_xyz
'x,y,z'
loop_
_atom_site_label
_atom_site_fract_x
_atom_site_fract_y
_atom_site_fract_z
As1 0.7500 0.7500 0.7500
In1 0.5000 0.5000 0.5000
Hg1 0.0000 0.0000 0.0000
# - Total moment: 0.000 μB/atom
# - Offset from the most stable computed form: 93 meV/atom
# - Formation energy: 0.09 eV per atom
# - Symmetry: F-43m, No. 216



# InHgAs2 PBE relaxed
data_InHgAs2
_cell_length_a 3.0003
_cell_length_b 3.0003
_cell_length_c 10.5487
_cell_angle_alpha 90.00
_cell_angle_beta 90.00
_cell_angle_gamma 100.15
_space_group_name_H-M_alt 'P 1'
_space_group_IT_number 1
loop_
_space_group_symop_operation_xyz
'x,y,z'
loop_
_atom_site_label
_atom_site_fract_x
_atom_site_fract_y
_atom_site_fract_z
Hg1 0.5000 0.5000 0.2500
As1 0.0000 0.0000 0.5246
As2 0.0000 0.0000 0.9754
In1 0.5000 0.5000 0.7500
# - Total moment: 0.000 μB/atom
# - Offset from the most stable computed form: 276 meV/atom
# - Formation energy: 0.31 eV per atom
# - Symmetry: Cmmm, No. 65



# InHg2As PBE relaxed
data_InHg2As
_cell_length_a 3.3965
_cell_length_b 3.3965
_cell_length_c 8.6671
_cell_angle_alpha 90.00
_cell_angle_beta 90.00
_cell_angle_gamma 103.42
_space_group_name_H-M_alt 'P 1'
_space_group_IT_number 1
loop_
_space_group_symop_operation_xyz
'x,y,z'
loop_
_atom_site_label
_atom_site_fract_x
_atom_site_fract_y
_atom_site_fract_z
In1 0.5000 0.5000 0.2500
As1 0.5000 0.5000 0.7500
Hg1 0.0000 0.0000 0.5142
Hg2 0.0000 0.0000 0.9858
# - Total moment: 0.000 μB/atom
# - Formation energy: 0.20 eV per atom
# - Symmetry: Cmmm, No. 65



# In5Hg12As3 PBE relaxed
data_In5Hg12As3
_cell_length_a 14.6670
_cell_length_b 14.6670
_cell_length_c 14.6670
_cell_angle_alpha 109.47
_cell_angle_beta 109.47
_cell_angle_gamma 109.47
_space_group_name_H-M_alt 'P 1'
_space_group_IT_number 1
loop_
_space_group_symop_operation_xyz
'x,y,z'
loop_
_atom_site_label
_atom_site_fract_x
_atom_site_fract_y
_atom_site_fract_z
In1 0.0000 0.5000 0.0000
In2 0.1250 0.3750 0.2500
In3 0.3750 0.1250 0.7500
In4 0.1250 0.7500 0.3750
In5 0.7500 0.6250 0.3750
In6 0.8750 0.6250 0.7500
In7 0.6250 0.8750 0.2500
In8 0.8750 0.2500 0.6250
In9 0.5000 0.5000 0.5000
In10 0.7500 0.1250 0.8750
In11 0.5000 0.5000 0.0000
In12 0.0000 0.5000 0.5000
In13 0.2500 0.8750 0.1250
In14 0.2500 0.3750 0.6250
In15 0.5000 0.0000 0.5000
In16 0.0000 0.0000 0.5000
In17 0.3750 0.2500 0.1250
In18 0.6250 0.7500 0.8750
In19 0.0000 0.0000 0.0000
In20 0.5000 0.0000 0.0000
Hg1 0.4331 0.6718 0.0654
Hg2 0.1718 0.0654 0.9331
Hg3 0.4346 0.3677 0.6064
Hg4 0.7387 0.1323 0.0669
Hg5 0.9331 0.3677 0.2613
Hg6 0.1323 0.7387 0.5669
Hg7 0.6064 0.7387 0.6718
Hg8 0.1064 0.9346 0.3677
Hg9 0.0654 0.1718 0.4331
Hg10 0.7613 0.4331 0.3677
Hg11 0.5669 0.2387 0.1323
Hg12 0.6064 0.8677 0.4346
Hg13 0.0669 0.6323 0.7387
Hg14 0.5654 0.6323 0.3936
Hg15 0.8282 0.9346 0.0669
Hg16 0.7387 0.6064 0.1718
Hg17 0.5654 0.9331 0.6718
Hg18 0.6323 0.5654 0.8936
Hg19 0.9346 0.1064 0.8677
Hg20 0.6718 0.4331 0.5654
Hg21 0.3677 0.9331 0.7613
Hg22 0.9346 0.8282 0.5669
Hg23 0.1064 0.1718 0.2387
Hg24 0.2613 0.3936 0.8282
Hg25 0.1718 0.1064 0.7387
Hg26 0.0669 0.4346 0.8282
Hg27 0.6323 0.0669 0.2387
Hg28 0.8677 0.2613 0.4331
Hg29 0.8282 0.8936 0.2613
Hg30 0.0654 0.8936 0.1323
Hg31 0.6718 0.2387 0.6064
Hg32 0.1323 0.3936 0.0654
Hg33 0.2387 0.6718 0.1064
Hg34 0.2387 0.5669 0.6323
Hg35 0.9331 0.5654 0.1718
Hg36 0.3282 0.5669 0.4346
Hg37 0.3677 0.4346 0.1064
Hg38 0.3936 0.2613 0.3282
Hg39 0.4346 0.0669 0.3282
Hg40 0.3936 0.1323 0.5654
Hg41 0.3282 0.7613 0.3936
Hg42 0.2613 0.8677 0.9331
Hg43 0.8677 0.6064 0.9346
Hg44 0.7613 0.3282 0.8936
Hg45 0.8936 0.0654 0.6323
Hg46 0.5669 0.3282 0.9346
Hg47 0.4331 0.7613 0.8677
Hg48 0.8936 0.8282 0.7613
As1 0.1250 0.8750 0.7500
As2 0.2500 0.1250 0.3750
As3 0.7500 0.3750 0.1250
As4 0.1250 0.2500 0.8750
As5 0.3750 0.6250 0.2500
As6 0.8750 0.7500 0.1250
As7 0.7500 0.8750 0.6250
As8 0.6250 0.2500 0.3750
As9 0.8750 0.1250 0.2500
As10 0.2500 0.6250 0.8750
As11 0.3750 0.7500 0.6250
As12 0.6250 0.3750 0.7500
# - Total moment: 0.000 μB/atom
# - Formation energy: 0.15 eV per atom
# - Symmetry: Ia-3d, No. 230



# InHgAs2 PBE relaxed
data_InHgAs2
_cell_length_a 5.1545
_cell_length_b 3.0086
_cell_length_c 6.2678
_cell_angle_alpha 90.22
_cell_angle_beta 90.00
_cell_angle_gamma 90.00
_space_group_name_H-M_alt 'P 1'
_space_group_IT_number 1
loop_
_space_group_symop_operation_xyz
'x,y,z'
loop_
_atom_site_label
_atom_site_fract_x
_atom_site_fract_y
_atom_site_fract_z
In1 0.5000 0.7500 0.7500
Hg1 0.5000 0.2500 0.2500
As1 0.0000 0.2534 0.9503
As2 0.0000 0.2466 0.5497
# - Total moment: 0.000 μB/atom
# - Offset from the most stable computed form: 154 meV/atom
# - Formation energy: 0.18 eV per atom
# - Symmetry: P2/m, No. 10



# InHgAs4 PBE relaxed
data_InHgAs4
_cell_length_a 6.1437
_cell_length_b 6.1437
_cell_length_c 6.1437
_cell_angle_alpha 60.00
_cell_angle_beta 60.00
_cell_angle_gamma 60.00
_space_group_name_H-M_alt 'P 1'
_space_group_IT_number 1
loop_
_space_group_symop_operation_xyz
'x,y,z'
loop_
_atom_site_label
_atom_site_fract_x
_atom_site_fract_y
_atom_site_fract_z
As1 0.3535 0.3535 0.9396
As2 0.3535 0.3535 0.3535
As3 0.9396 0.3535 0.3535
As4 0.3535 0.9396 0.3535
Hg1 0.7500 0.7500 0.7500
In1 0.0000 0.0000 0.0000
# - Total moment: 0.000 μB/atom
# - Formation energy: 0.23 eV per atom
# - Symmetry: F-43m, No. 216



# InHg2As PBE relaxed
data_InHg2As
_cell_length_a 5.1952
_cell_length_b 5.1952
_cell_length_c 5.1952
_cell_angle_alpha 121.11
_cell_angle_beta 121.11
_cell_angle_gamma 88.09
_space_group_name_H-M_alt 'P 1'
_space_group_IT_number 1
loop_
_space_group_symop_operation_xyz
'x,y,z'
loop_
_atom_site_label
_atom_site_fract_x
_atom_site_fract_y
_atom_site_fract_z
Hg1 0.2500 0.7500 0.5000
Hg2 0.0000 0.0000 0.0000
As1 0.7500 0.2500 0.5000
In1 0.5000 0.5000 0.0000
# - Total moment: 0.000 μB/atom
# - Formation energy: 0.14 eV per atom
# - Symmetry: I-4m2, No. 119



# In2HgAs PBE relaxed
data_In2HgAs
_cell_length_a 6.9792
_cell_length_b 6.9792
_cell_length_c 7.2779
_cell_angle_alpha 61.35
_cell_angle_beta 61.35
_cell_angle_gamma 90.00
_space_group_name_H-M_alt 'P 1'
_space_group_IT_number 1
loop_
_space_group_symop_operation_xyz
'x,y,z'
loop_
_atom_site_label
_atom_site_fract_x
_atom_site_fract_y
_atom_site_fract_z
In1 0.8750 0.8500 0.7500
In2 0.1500 0.6250 0.2500
In3 0.6000 0.1250 0.2500
In4 0.3750 0.4000 0.7500
As1 0.5000 0.5000 0.0000
As2 0.2500 0.7500 0.5000
Hg1 0.7500 0.2500 0.5000
Hg2 0.0000 0.0000 0.0000
# - Total moment: 0.000 μB/atom
# - Offset from the most stable computed form: 102 meV/atom
# - Formation energy: 0.05 eV per atom
# - Symmetry: I-42d, No. 122



# In2HgAs PBE relaxed
data_In2HgAs
_cell_length_a 3.5374
_cell_length_b 3.5374
_cell_length_c 8.0019
_cell_angle_alpha 90.00
_cell_angle_beta 90.00
_cell_angle_gamma 90.00
_space_group_name_H-M_alt 'P 1'
_space_group_IT_number 1
loop_
_space_group_symop_operation_xyz
'x,y,z'
loop_
_atom_site_label
_atom_site_fract_x
_atom_site_fract_y
_atom_site_fract_z
As1 0.0000 0.0000 0.4893
Hg1 0.5000 0.5000 0.7350
In1 0.5000 0.5000 0.2839
In2 0.0000 0.0000 0.9917
# - Total moment: 0.000 μB/atom
# - Offset from the most stable computed form: 184 meV/atom
# - Formation energy: 0.13 eV per atom
# - Symmetry: P4mm, No. 99



# InHg3As PBE relaxed
data_InHg3As
_cell_length_a 5.4063
_cell_length_b 5.4063
_cell_length_c 5.4063
_cell_angle_alpha 90.00
_cell_angle_beta 90.00
_cell_angle_gamma 90.00
_space_group_name_H-M_alt 'P 1'
_space_group_IT_number 1
loop_
_space_group_symop_operation_xyz
'x,y,z'
loop_
_atom_site_label
_atom_site_fract_x
_atom_site_fract_y
_atom_site_fract_z
Hg1 0.0000 0.5000 0.0000
Hg2 0.5000 0.0000 0.0000
Hg3 0.0000 0.0000 0.5000
As1 0.0000 0.0000 0.0000
In1 0.5000 0.5000 0.5000
# - Total moment: 0.000 μB/atom
# - Offset from the most stable computed form: 0 meV/atom
# - Formation energy: 0.26 eV per atom
# - Symmetry: Pm-3m, No. 221



# InHg2As PBE relaxed
data_InHg2As
_cell_length_a 3.3374
_cell_length_b 3.3374
_cell_length_c 8.6559
_cell_angle_alpha 90.00
_cell_angle_beta 90.00
_cell_angle_gamma 90.00
_space_group_name_H-M_alt 'P 1'
_space_group_IT_number 1
loop_
_space_group_symop_operation_xyz
'x,y,z'
loop_
_atom_site_label
_atom_site_fract_x
_atom_site_fract_y
_atom_site_fract_z
Hg1 0.0000 0.0000 0.5151
Hg2 0.0000 0.0000 0.9849
As1 0.5000 0.5000 0.7500
In1 0.5000 0.5000 0.2500
# - Total moment: 0.000 μB/atom
# - Formation energy: 0.22 eV per atom
# - Symmetry: P4/mmm, No. 123



# InHgAs2 PBE relaxed
data_InHgAs2
_cell_length_a 6.3412
_cell_length_b 6.3412
_cell_length_c 4.8940
_cell_angle_alpha 107.21
_cell_angle_beta 107.21
_cell_angle_gamma 33.38
_space_group_name_H-M_alt 'P 1'
_space_group_IT_number 1
loop_
_space_group_symop_operation_xyz
'x,y,z'
loop_
_atom_site_label
_atom_site_fract_x
_atom_site_fract_y
_atom_site_fract_z
Hg1 0.7500 0.7500 0.7500
In1 0.2500 0.2500 0.2500
As1 0.4980 0.4980 0.4200
As2 0.0020 0.0020 0.0800
# - Total moment: 0.000 μB/atom
# - Offset from the most stable computed form: 0 meV/atom
# - Formation energy: 0.03 eV per atom
# - Symmetry: C2/m, No. 12



# InHg2As PBE relaxed
data_InHg2As
_cell_length_a 4.3132
_cell_length_b 5.0086
_cell_length_c 5.0106
_cell_angle_alpha 72.76
_cell_angle_beta 90.00
_cell_angle_gamma 90.00
_space_group_name_H-M_alt 'P 1'
_space_group_IT_number 1
loop_
_space_group_symop_operation_xyz
'x,y,z'
loop_
_atom_site_label
_atom_site_fract_x
_atom_site_fract_y
_atom_site_fract_z
Hg1 0.0000 0.5220 0.5219
Hg2 0.0000 0.9780 0.9781
In1 0.5000 0.2500 0.2500
As1 0.5000 0.7500 0.7500
# - Total moment: 0.000 μB/atom
# - Formation energy: 0.08 eV per atom
# - Symmetry: Cmmm, No. 65



# InHgAs2 PBE relaxed
data_InHgAs2
_cell_length_a 5.0322
_cell_length_b 5.0322
_cell_length_c 5.0322
_cell_angle_alpha 60.00
_cell_angle_beta 60.00
_cell_angle_gamma 60.00
_space_group_name_H-M_alt 'P 1'
_space_group_IT_number 1
loop_
_space_group_symop_operation_xyz
'x,y,z'
loop_
_atom_site_label
_atom_site_fract_x
_atom_site_fract_y
_atom_site_fract_z
Hg1 0.5000 0.5000 0.5000
As1 0.2500 0.2500 0.2500
As2 0.7500 0.7500 0.7500
In1 0.0000 0.0000 0.0000
# - Total moment: 0.000 μB/atom
# - Offset from the most stable computed form: 306 meV/atom
# - Formation energy: 0.34 eV per atom
# - Symmetry: Fm-3m, No. 225



# InHgAs2 PBE relaxed
data_InHgAs2
_cell_length_a 10.8019
_cell_length_b 10.8019
_cell_length_c 10.8019
_cell_angle_alpha 17.02
_cell_angle_beta 17.02
_cell_angle_gamma 17.02
_space_group_name_H-M_alt 'P 1'
_space_group_IT_number 1
loop_
_space_group_symop_operation_xyz
'x,y,z'
loop_
_atom_site_label
_atom_site_fract_x
_atom_site_fract_y
_atom_site_fract_z
As1 0.4892 0.4892 0.4892
As2 0.0108 0.0108 0.0108
In1 0.7500 0.7500 0.7500
Hg1 0.2500 0.2500 0.2500
# - Total moment: 0.000 μB/atom
# - Offset from the most stable computed form: 275 meV/atom
# - Formation energy: 0.31 eV per atom
# - Symmetry: R-3m, No. 166



# InHgAs PBE relaxed
data_InHgAs
_cell_length_a 5.4210
_cell_length_b 5.4210
_cell_length_c 5.4210
_cell_angle_alpha 146.79
_cell_angle_beta 122.47
_cell_angle_gamma 68.07
_space_group_name_H-M_alt 'P 1'
_space_group_IT_number 1
loop_
_space_group_symop_operation_xyz
'x,y,z'
loop_
_atom_site_label
_atom_site_fract_x
_atom_site_fract_y
_atom_site_fract_z
In1 0.6639 0.6639 0.0000
As1 0.0048 0.0048 0.0000
Hg1 0.3312 0.3312 0.0000
# - Total moment: 0.000 μB/atom
# - Offset from the most stable computed form: 201 meV/atom
# - Formation energy: 0.20 eV per atom
# - Symmetry: Imm2, No. 44



# In2HgAs PBE relaxed
data_In2HgAs
_cell_length_a 4.1651
_cell_length_b 2.9413
_cell_length_c 9.1359
_cell_angle_alpha 107.60
_cell_angle_beta 90.00
_cell_angle_gamma 90.00
_space_group_name_H-M_alt 'P 1'
_space_group_IT_number 1
loop_
_space_group_symop_operation_xyz
'x,y,z'
loop_
_atom_site_label
_atom_site_fract_x
_atom_site_fract_y
_atom_site_fract_z
Hg1 0.5000 0.7500 0.7500
In1 0.0000 0.4679 0.4768
In2 0.0000 0.0321 0.0232
As1 0.5000 0.2500 0.2500
# - Total moment: 0.000 μB/atom
# - Offset from the most stable computed form: 94 meV/atom
# - Formation energy: 0.04 eV per atom
# - Symmetry: P2/m, No. 10